BeSiOsPd PBE optimized geometry; uncorrected formation energy = -1.47 eV per formula unit
1.0
-0.5100 0.1788 4.0715
-3.7059 -0.6751 1.6370
-0.7072 -3.4373 2.1340
Si Be Os Pd
1 1 1 1
direct
0.7500 0.7500 0.7500 Si
0.2500 0.2500 0.2500 Be
0.5000 0.5000 0.5000 Os
0.0000 0.0000 0.0000 Pd

BeSnOsPd2 PBE optimized geometry; calculated formation energy = 4.48 eV per formula unit
1.0
-0.2919 4.8571 -0.6056
-4.2000 -0.2381 0.1147
0.0981 0.6124 4.8640
Os Pd Be Sn
1 2 1 1
direct
0.0000 0.0000 0.0000 Os
0.5000 0.0000 0.0000 Pd
0.0000 0.0000 0.5000 Pd
0.0000 0.5000 0.0000 Be
0.5000 0.5000 0.5000 Sn

Be2TeOsPd PBE optimized geometry; uncorrected formation energy = 4.27 eV per formula unit
1.0
-4.1336 -0.2914 1.1243
-1.0996 -0.3557 -4.1351
0.4302 -4.9135 0.3083
Be Pd Te Os
2 1 1 1
direct
0.5000 0.0000 0.0000 Be
0.0000 0.5000 0.0000 Be
0.0000 0.0000 0.5000 Pd
0.5000 0.5000 0.5000 Te
0.0000 0.0000 0.0000 Os

Be2VOsPd PBE optimized geometry; calculated formation energy = 5.56 eV per formula unit
1.0
3.9465 0.0000 0.0000
0.0000 4.9819 0.0000
0.0000 0.0000 3.9465
Pd V Os Be
1 1 1 2
direct
0.0000 0.0000 0.0000 Pd
0.5000 0.5000 0.5000 V
0.0000 0.5000 0.0000 Os
0.0000 0.0000 0.5000 Be
0.5000 0.0000 0.0000 Be

PmBeOs PBE optimized geometry; E above lowest polymorph = 1.74 kcal/mol of atoms; calculated formation energy = -0.05 eV per formula unit
1.0
-1.4601 -0.5579 2.8491
1.5071 -3.7573 -1.8162
8.3421 -0.5543 4.1763
Os Pm Be
2 2 2
direct
0.8675 0.7344 0.4291 Os
0.1325 0.2656 0.5709 Os
0.6885 0.3786 0.8121 Pm
0.3115 0.6214 0.1879 Pm
0.5850 0.1700 0.3964 Be
0.4150 0.8300 0.6036 Be

Pm2BeOs2 PBE optimized geometry; calculated formation energy = -0.65 eV per formula unit
1.0
3.9797 0.0000 -1.5058
-0.8576 4.4675 -2.2666
-0.0886 0.0235 5.7781
Pm Os Be
2 2 1
direct
0.8115 0.3115 0.6230 Pm
0.1885 0.6885 0.3770 Pm
0.5000 0.7486 0.0000 Os
0.5000 0.2514 0.0000 Os
0.0000 0.0000 0.0000 Be

The records above give, respectively, calculated total energy values of -6.76; -4.97; -4.55; -5.49; -6.59; -7.27 eV per atom.